Below is NdTh2In2Ag2 after structural relaxation, with properties calculated at the PBE level.

Structure (POSCAR):
```
NdTh2In2Ag2
1.0
2.4505 1.4148 9.0502
-2.4505 1.4148 9.0502
0.0000 -2.8296 9.0502
Nd Th In Ag
1 2 2 2
Direct
0.0000 0.0000 0.0000 Nd
0.1304 0.1304 0.1304 Th
0.8696 0.8696 0.8696 Th
0.2650 0.2650 0.2650 In
0.7350 0.7350 0.7350 In
0.4027 0.4027 0.4027 Ag
0.5973 0.5973 0.5973 Ag
```

Output
volume: 188 Å³/f.u.
E_tot: -4.548 eV per atom
ΔE_f: -0.15 eV/atom

Below is Er3Tm2Ag2 after structural relaxation, with properties calculated at the PBE level.

Structure (POSCAR):
```
Er3Tm2Ag2
1.0
-1.7782 1.7782 14.6448
1.7782 -1.7782 14.6448
1.7782 1.7782 -14.6448
Er Tm Ag
3 2 2
Direct
0.0000 0.0000 0.0000 Er
0.1252 0.1252 0.0000 Er
0.8748 0.8748 0.0000 Er
0.2907 0.2907 0.0000 Tm
0.7093 0.7093 0.0000 Tm
0.4375 0.4375 0.0000 Ag
0.5625 0.5625 0.0000 Ag
```

Output
volume: 185 Å³/f.u.
E_tot: -4.217 eV per atom
ΔE_f: -0.17 eV/atom